A plane-wave DFT calculation with GGA-PBE was carried out for crystalline YNiAs3 at its relaxed geometry.

Calculated values
- Crystal system: cubic
- Energy relative to the lowest polymorph listed for this composition: 0.0 meV per atom
- N(E_F): 3.8 states/eV/cell
- Formation enthalpy at 0 K: -0.23 eV per atom

```
data_YNiAs3
_cell_length_a 4.684
_cell_length_b 4.684
_cell_length_c 4.684
_cell_angle_alpha 90.00
_cell_angle_beta 90.00
_cell_angle_gamma 90.00
_symmetry_space_group_name_H-M 'P m -3 m'
_symmetry_Int_Tables_number 221
_symmetry_space_group_name_Hall '-P 4 2 3'
loop_
_atom_site_label
_atom_site_type_symbol
_atom_site_fract_x
_atom_site_fract_y
_atom_site_fract_z
Y1 Y 0.000 0.000 0.000
Ni1 Ni 0.500 0.500 0.500
As1 As 0.000 0.500 0.500
```

---

A plane-wave DFT calculation with GGA-PBE was carried out for crystalline CePr2HoBi5 at its relaxed geometry.

Calculated values
- Crystal system: tetragonal
- N(E_F): 8.6 states/eV/cell
- Formation enthalpy at 0 K: -0.09 eV per atom

```
data_CePr2HoBi5
_cell_length_a 5.585
_cell_length_b 5.585
_cell_length_c 11.886
_cell_angle_alpha 90.00
_cell_angle_beta 90.00
_cell_angle_gamma 90.00
_symmetry_space_group_name_H-M 'P 4/m m m'
_symmetry_Int_Tables_number 123
_symmetry_space_group_name_Hall '-P 4 2'
loop_
_atom_site_label
_atom_site_type_symbol
_atom_site_fract_x
_atom_site_fract_y
_atom_site_fract_z
Ce1 Ce 0.000 0.000 0.000
Pr1 Pr 0.500 0.500 0.221
Ho1 Ho 0.000 0.000 0.500
Bi1 Bi 0.000 0.000 0.255
Bi2 Bi 0.000 0.500 0.000
Bi3 Bi 0.500 0.500 0.500
```

---

A plane-wave DFT calculation with GGA-PBE was carried out for crystalline MgIn2PbO6 at its relaxed geometry.

Calculated values
- Crystal system: trigonal
- Raw formation energy: -151.4 kJ/mol of atoms

```
data_MgIn2PbO6
_cell_length_a 5.5365
_cell_length_b 5.5365
_cell_length_c 14.6991
_cell_angle_alpha 90.00
_cell_angle_beta 90.00
_cell_angle_gamma 120.00
_symmetry_space_group_name_H-M 'R 3'
_symmetry_Int_Tables_number 146
_symmetry_space_group_name_Hall 'R 3'
loop_
_atom_site_label
_atom_site_type_symbol
_atom_site_fract_x
_atom_site_fract_y
_atom_site_fract_z
Mg1 Mg 0.0000 0.0000 0.0000
In1 In 0.0000 0.0000 0.2888
In2 In 0.0000 0.0000 0.7847
Pb1 Pb 0.0000 0.0000 0.5005
O1 O 0.0368 0.6770 0.0609
O2 O 0.0430 0.3743 0.5631
```

---

A plane-wave DFT calculation with GGA-PBE was carried out for crystalline Nd7Y3Tm at its relaxed geometry.

Calculated values
- Crystal system: monoclinic
- Energy relative to the lowest polymorph listed for this composition: 43.9 meV per atom
- N(E_F): 29.2 states/eV/cell
- Formation enthalpy at 0 K: 0.23 eV per atom

```
data_Nd7Y3Tm
_cell_length_a 12.882
_cell_length_b 11.391
_cell_length_c 5.925
_cell_angle_alpha 90.00
_cell_angle_beta 117.35
_cell_angle_gamma 90.00
_symmetry_space_group_name_H-M 'C 1 2/m 1'
_symmetry_Int_Tables_number 12
loop_
_symmetry_equiv_pos_as_xyz
'x,y,z'
'-x,-y,-z'
'-x,y,-z'
'x,-y,z'
'x+1/2,y+1/2,z'
'-x+1/2,-y+1/2,-z'
'-x+1/2,y+1/2,-z'
'x+1/2,-y+1/2,z'
loop_
_atom_site_label
_atom_site_type_symbol
_atom_site_fract_x
_atom_site_fract_y
_atom_site_fract_z
Nd1 Nd 0.000 0.000 0.000
Nd2 Nd 0.192 0.289 0.692
Nd3 Nd 0.212 0.500 0.211
Y1 Y 0.000 0.296 0.000
Y2 Y 0.000 0.500 0.500
Tm1 Tm 0.000 0.000 0.500
```

---

| no. | DFT total energy (eV per atom) | total magnetic moment (μB/f.u.) |
| --- | --- | --- |
| 1 | -5.467 | 0.000 |
| 2 | -4.474 | 0.000 |
| 3 | -5.622 | 0.000 |
| 4 | -4.974 | 0.000 |